(1)
Compound: KTlBr2
Source: Alexandria via LeMat-Bulk
Functional: PBE-GGA
Structure: relaxed

a b c (Å): 8.564 8.564 8.564
angles (deg): 150.68 150.80 41.86
Fractional positions:
1 Tl 0.206 0.706 0.500
2 K 0.458 0.458 0.000
3 Br 0.041 0.041 0.000
4 Br 0.795 0.295 0.500

Values from the calculation:
Its density of states at the Fermi level is 0.00 states/eV/f.u. The space group is Imm2. For the uncorrected formation energy, the calculation gives -1261 meV per atom.

***

(2)
Compound: KTl3Br8
Source: Alexandria via LeMat-Bulk
Functional: PBE-GGA
Structure: relaxed

a b c (Å): 7.122 7.122 10.856
angles (deg): 89.83 89.83 71.83
Fractional positions:
1 K 0.000 0.000 0.000
2 Tl 0.602 0.602 0.248
3 Tl 0.398 0.398 0.752
4 Tl 0.000 0.000 0.500
5 Br 0.272 0.791 0.750
6 Br 0.707 0.707 0.035
7 Br 0.791 0.272 0.750
8 Br 0.289 0.289 0.543
9 Br 0.209 0.728 0.250
10 Br 0.711 0.711 0.457
11 Br 0.728 0.209 0.250
12 Br 0.293 0.293 0.965

Values from the calculation:
Its density of states at the Fermi level is 0.00 states/eV/f.u. The space group is C2/m. For the uncorrected formation energy, the calculation gives -766 meV per atom.

***

(3)
Compound: KTmTl2Br6
Source: Alexandria via LeMat-Bulk
Functional: PBE-GGA
Structure: relaxed

a b c (Å): 8.108 8.109 8.347
angles (deg): 60.93 60.92 59.96
Fractional positions:
1 K 0.816 0.816 0.552
2 Tm 0.323 0.323 0.030
3 Tl 0.530 0.530 0.410
4 Tl 0.022 0.022 0.935
5 Br 0.559 0.198 0.249
6 Br 0.198 0.994 0.249
7 Br 0.994 0.560 0.248
8 Br 0.435 0.663 0.781
9 Br 0.663 0.121 0.781
10 Br 0.122 0.435 0.781

Values from the calculation:
Its density of states at the Fermi level is 0.00 states/eV/f.u. The space group is P1. For the uncorrected formation energy, the calculation gives -1457 meV per atom.